This record from Alexandria via LeMat-Bulk describes an optimized crystal structure of PmFeCoGe2. The functional is PBE-GGA.

Cell: 5.8006 5.8006 5.8006 Å, 139.17 139.17 59.12°
Last column: nearest neighbours and their distance in Å.
Positions (direct):
Pm1 0.0000 0.0000 0.0000  8 Ge 3.16, 4 Fe 3.23, 4 Co 3.23
Fe1 0.2500 0.7500 0.5000  4 Ge 2.34
Co1 0.7500 0.2500 0.5000  4 Ge 2.34
Ge1 0.3667 0.3667 0.0000  2 Fe 2.34, 2 Co 2.34
Ge2 0.6333 0.6333 0.0000  2 Fe 2.34, 2 Co 2.34

Results
Its symmetry is No. 119. The calculation puts the total energy at -6.451 eV per atom. The value obtained for the formation energy from the elements is -2.70 eV/f.u.